1.
This record from the Alexandria database describes crystalline Rb2AsHCl6 at its relaxed geometry. The functional is GGA-PBE.

Properties
excess energy over the best structure of this formula in the dataset	0.000	eV/atom
uncorrected energy	-3.2959	eV/atom
space group	P1

Structure (POSCAR):
```
Rb2AsHCl6
1.0
6.9254 0.0000 0.0000
-0.0243 7.3629 0.0000
-3.4422 -3.6772 5.7801
Rb As H Cl
2 1 1 6
Direct
0.0000 0.0000 0.0000
0.4802 0.4797 0.9585
0.2373 0.7248 0.4791
0.7945 0.0211 0.4811
0.0250 0.5206 0.0445
0.0380 0.0578 0.4802
0.4348 0.4692 0.4779
0.4584 0.9526 0.9143
0.5898 0.9876 0.4820
0.9552 0.5670 0.4782
```



2.
This record from the Alexandria database describes crystalline Rb2AsHCl6 at its relaxed geometry. The functional is GGA-PBE.

Properties
excess energy over the best structure of this formula in the dataset	0.105	eV/atom
uncorrected energy	-3.1911	eV/atom
space group	I4/mmm

Structure (POSCAR):
```
Rb2AsHCl6
1.0
-3.9965 3.9965 4.5469
3.9965 -3.9965 4.5469
3.9965 3.9965 -4.5469
Rb As H Cl
2 1 1 6
Direct
0.2500 0.7500 0.5000
0.7500 0.2500 0.5000
0.0000 0.0000 0.0000
0.5000 0.5000 0.0000
0.2157 0.2157 0.4313
0.2157 0.7843 0.0000
0.3257 0.3257 0.0000
0.6743 0.6743 0.0000
0.7843 0.2157 0.0000
0.7843 0.7843 0.5687
```



3.
This record from the Alexandria database describes crystalline SnAsHCl2 at its relaxed geometry. The functional is GGA-PBE.

Properties
uncorrected energy	-3.0100	eV/atom
space group	P4/mmm

Structure (POSCAR):
```
SnAsHCl2
1.0
5.2598 0.0000 0.0000
0.0000 5.2598 0.0000
0.0000 0.0000 3.5217
Sn As H Cl
1 1 1 2
Direct
0.0000 0.0000 0.0000
0.5000 0.5000 0.0000
0.5000 0.5000 0.5000
0.0000 0.5000 0.5000
0.5000 0.0000 0.5000
```



4.
This record from the Alexandria database describes crystalline Tl2AsHCl at its relaxed geometry. The functional is GGA-PBE.

Properties
uncorrected energy	-2.5920	eV/atom
space group	P4/mmm

Structure (POSCAR):
```
Tl2AsHCl
1.0
4.6198 0.0000 0.0000
0.0000 4.6198 0.0000
0.0000 0.0000 5.1766
Tl As H Cl
2 1 1 1
Direct
0.0000 0.5000 0.0000
0.5000 0.0000 0.0000
0.0000 0.0000 0.5000
0.5000 0.5000 0.0000
0.5000 0.5000 0.5000
```



5.
This record from the Alexandria database describes crystalline YAsHCl2 at its relaxed geometry. The functional is GGA-PBE.

Properties
uncorrected energy	-3.9982	eV/atom
space group	P4/mmm

Structure (POSCAR):
```
YAsHCl2
1.0
4.9615 0.0000 0.0000
0.0000 4.9615 0.0000
0.0000 0.0000 3.8920
Y As H Cl
1 1 1 2
Direct
0.0000 0.0000 0.0000
0.5000 0.5000 0.0000
0.0000 0.0000 0.5000
0.0000 0.5000 0.5000
0.5000 0.0000 0.5000
```



6.
This record from the Alexandria database describes crystalline ZrAsHCl2 at its relaxed geometry. The functional is GGA-PBE.

Properties
uncorrected energy	-4.0015	eV/atom
space group	P4/mmm

Structure (POSCAR):
```
ZrAsHCl2
1.0
4.8070 0.0000 0.0000
0.0000 4.8070 0.0000
0.0000 0.0000 3.5421
Zr As H Cl
1 1 1 2
Direct
0.0000 0.0000 0.0000
0.5000 0.5000 0.0000
0.5000 0.5000 0.5000
0.0000 0.5000 0.5000
0.5000 0.0000 0.5000
```



7.
This record from the Alexandria database describes crystalline Hf2As2Cl at its relaxed geometry. The functional is GGA-PBE.

Properties
uncorrected energy	-7.1727	eV/atom
space group	P4/mbm

Structure (POSCAR):
```
Hf2As2Cl
1.0
7.4308 0.0000 0.0000
0.0000 7.4308 0.0000
0.0000 0.0000 3.5228
Hf As Cl
4 4 2
Direct
0.1499 0.3501 0.0000
0.3501 0.8501 0.0000
0.6499 0.1499 0.0000
0.8501 0.6499 0.0000
0.1415 0.6415 0.5000
0.3585 0.1415 0.5000
0.6415 0.8585 0.5000
0.8585 0.3585 0.5000
0.0000 0.0000 0.0000
0.5000 0.5000 0.0000
```



8.
This record from the Alexandria database describes crystalline Hf3AsCl at its relaxed geometry. The functional is GGA-PBE.

Properties
excess energy over the best structure of this formula in the dataset	0.000	eV/atom
uncorrected energy	-6.9784	eV/atom
space group	Pm-3m

Structure (POSCAR):
```
Hf3AsCl
1.0
4.7123 0.0000 0.0000
0.0000 4.7123 0.0000
0.0000 0.0000 4.7123
Hf As Cl
3 1 1
Direct
0.0000 0.0000 0.5000
0.0000 0.5000 0.0000
0.5000 0.0000 0.0000
0.5000 0.5000 0.5000
0.0000 0.0000 0.0000
```



9.
This record from the Alexandria database describes crystalline Hf2AsCl at its relaxed geometry. The functional is GGA-PBE.

Properties
excess energy over the best structure of this formula in the dataset	0.000	eV/atom
uncorrected energy	-7.2330	eV/atom
space group	Fm-3m

Structure (POSCAR):
```
Hf2AsCl
1.0
0.0000 3.2981 3.2981
3.2981 0.0000 3.2981
3.2981 3.2981 0.0000
Hf As Cl
2 1 1
Direct
0.2500 0.2500 0.2500
0.7500 0.7500 0.7500
0.0000 0.0000 0.0000
0.5000 0.5000 0.5000
```



10.
This record from the Alexandria database describes crystalline Hf2AsCl at its relaxed geometry. The functional is GGA-PBE.

Properties
excess energy over the best structure of this formula in the dataset	0.428	eV/atom
uncorrected energy	-6.8047	eV/atom
space group	I-42d

Structure (POSCAR):
```
Hf2AsCl
1.0
-2.3423 2.3423 8.2588
2.3423 -2.3423 8.2588
2.3423 2.3423 -8.2588
Hf As Cl
4 2 2
Direct
0.1206 0.6250 0.9956
0.3750 0.3706 0.4956
0.6294 0.1250 0.0044
0.8750 0.8794 0.5044
0.2500 0.7500 0.5000
0.5000 0.5000 0.0000
0.0000 0.0000 0.0000
0.7500 0.2500 0.5000
```



11.
This record from the Alexandria database describes crystalline K2HfAsCl at its relaxed geometry. The functional is GGA-PBE.

Properties
uncorrected energy	-3.1883	eV/atom
space group	P4/mmm

Structure (POSCAR):
```
K2HfAsCl
1.0
6.8902 0.0000 0.0000
0.0000 6.8902 0.0000
0.0000 0.0000 4.6999
K Hf As Cl
2 1 1 1
Direct
0.0000 0.5000 0.0000
0.5000 0.0000 0.0000
0.0000 0.0000 0.0000
0.5000 0.5000 0.5000
0.0000 0.0000 0.5000
```



12.
This record from the Alexandria database describes crystalline HfMoAs2Cl at its relaxed geometry. The functional is GGA-PBE.

Properties
uncorrected energy	-6.1809	eV/atom
space group	P4/mmm

Structure (POSCAR):
```
HfMoAs2Cl
1.0
4.7584 0.0000 0.0000
0.0000 4.7584 0.0000
0.0000 0.0000 5.3144
Hf Mo As Cl
1 1 2 1
Direct
0.0000 0.0000 0.0000
0.0000 0.0000 0.5000
0.0000 0.5000 0.5000
0.5000 0.0000 0.5000
0.5000 0.5000 0.0000
```



13.
This record from the Alexandria database describes crystalline HfAsPCl2 at its relaxed geometry. The functional is GGA-PBE.

Properties
excess energy over the best structure of this formula in the dataset	0.771	eV/atom
uncorrected energy	-4.2200	eV/atom
space group	P4/mmm

Structure (POSCAR):
```
HfAsPCl2
1.0
4.7480 0.0000 0.0000
0.0000 4.7480 0.0000
0.0000 0.0000 5.0931
Hf As P Cl
1 1 1 2
Direct
0.0000 0.0000 0.0000
0.5000 0.5000 0.5000
0.5000 0.5000 0.0000
0.0000 0.5000 0.5000
0.5000 0.0000 0.5000
```



14.
This record from the Alexandria database describes crystalline HfAsPCl2 at its relaxed geometry. The functional is GGA-PBE.

Properties
excess energy over the best structure of this formula in the dataset	0.000	eV/atom
uncorrected energy	-4.9908	eV/atom
space group	P4/mmm

Structure (POSCAR):
```
HfAsPCl2
1.0
4.8512 0.0000 0.0000
0.0000 4.8512 0.0000
0.0000 0.0000 5.2919
Hf As P Cl
1 1 1 2
Direct
0.0000 0.0000 0.0000
0.5000 0.5000 0.5000
0.0000 0.0000 0.5000
0.0000 0.5000 0.0000
0.5000 0.0000 0.0000
```



15.
This record from the Alexandria database describes crystalline HfAsPbCl2 at its relaxed geometry. The functional is GGA-PBE.

Properties
uncorrected energy	-4.2115	eV/atom
space group	P4/mmm

Structure (POSCAR):
```
HfAsPbCl2
1.0
4.9806 0.0000 0.0000
0.0000 4.9806 0.0000
0.0000 0.0000 5.4975
Hf As Pb Cl
1 1 1 2
Direct
0.0000 0.0000 0.0000
0.0000 0.0000 0.5000
0.5000 0.5000 0.0000
0.0000 0.5000 0.5000
0.5000 0.0000 0.5000
```



16.
This record from the Alexandria database describes crystalline Hf2AsRhCl at its relaxed geometry. The functional is GGA-PBE.

Properties
uncorrected energy	-6.1896	eV/atom
space group	P4/mmm

Structure (POSCAR):
```
Hf2AsRhCl
1.0
4.6212 0.0000 0.0000
0.0000 4.6212 0.0000
0.0000 0.0000 4.7890
Hf As Rh Cl
2 1 1 1
Direct
0.0000 0.5000 0.0000
0.5000 0.0000 0.0000
0.0000 0.0000 0.5000
0.5000 0.5000 0.5000
0.0000 0.0000 0.0000
```



17.
This record from the Alexandria database describes crystalline HfAsSCl2 at its relaxed geometry. The functional is GGA-PBE.

Properties
excess energy over the best structure of this formula in the dataset	0.970	eV/atom
uncorrected energy	-4.0353	eV/atom
space group	P4/mmm

Structure (POSCAR):
```
HfAsSCl2
1.0
4.8348 0.0000 0.0000
0.0000 4.8348 0.0000
0.0000 0.0000 5.1074
Hf As S Cl
1 1 1 2
Direct
0.0000 0.0000 0.0000
0.5000 0.5000 0.5000
0.5000 0.5000 0.0000
0.0000 0.5000 0.5000
0.5000 0.0000 0.5000
```



18.
This record from the Alexandria database describes crystalline HfAsSCl2 at its relaxed geometry. The functional is GGA-PBE.

Properties
excess energy over the best structure of this formula in the dataset	0.000	eV/atom
uncorrected energy	-5.0055	eV/atom
space group	P4/mmm

Structure (POSCAR):
```
HfAsSCl2
1.0
5.0725 0.0000 0.0000
0.0000 5.0725 0.0000
0.0000 0.0000 4.9330
Hf As S Cl
1 1 1 2
Direct
0.0000 0.0000 0.0000
0.5000 0.5000 0.5000
0.0000 0.0000 0.5000
0.0000 0.5000 0.0000
0.5000 0.0000 0.0000
```



19.
This record from the Alexandria database describes crystalline Hf2TeAsCl at its relaxed geometry. The functional is GGA-PBE.

Properties
uncorrected energy	-5.0404	eV/atom
space group	P4/mmm

Structure (POSCAR):
```
Hf2TeAsCl
1.0
5.3402 0.0000 0.0000
0.0000 5.3402 0.0000
0.0000 0.0000 5.0791
Hf Te As Cl
2 1 1 1
Direct
0.0000 0.5000 0.0000
0.5000 0.0000 0.0000
0.0000 0.0000 0.0000
0.5000 0.5000 0.5000
0.0000 0.0000 0.5000
```



20.
This record from the Alexandria database describes crystalline Hf2VAsCl at its relaxed geometry. The functional is GGA-PBE.

Properties
uncorrected energy	-6.2013	eV/atom
space group	P4/mmm

Structure (POSCAR):
```
Hf2VAsCl
1.0
5.0871 0.0000 0.0000
0.0000 5.0871 0.0000
0.0000 0.0000 4.9085
Hf V As Cl
2 1 1 1
Direct
0.0000 0.5000 0.0000
0.5000 0.0000 0.0000
0.0000 0.0000 0.5000
0.5000 0.5000 0.0000
0.5000 0.5000 0.5000
```



21.
This record from the Alexandria database describes crystalline HfZr2AsCl at its relaxed geometry. The functional is GGA-PBE.

Properties
uncorrected energy	-6.5981	eV/atom
space group	P4/mmm

Structure (POSCAR):
```
HfZr2AsCl
1.0
4.8068 0.0000 0.0000
0.0000 4.8068 0.0000
0.0000 0.0000 4.6231
Hf Zr As Cl
1 2 1 1
Direct
0.0000 0.0000 0.0000
0.0000 0.5000 0.5000
0.5000 0.0000 0.5000
0.5000 0.5000 0.0000
0.0000 0.0000 0.5000
```



22.
This record from the Alexandria database describes crystalline HgAsCl2 at its relaxed geometry. The functional is GGA-PBE.

Properties
excess energy over the best structure of this formula in the dataset	0.551	eV/atom
uncorrected energy	-1.9077	eV/atom
space group	Cmmm

Structure (POSCAR):
```
HgAsCl2
1.0
3.1452 -4.2183 0.0000
3.1452 4.2183 0.0000
0.0000 0.0000 3.3475
Hg As Cl
1 1 2
Direct
0.0000 0.0000 0.0000
0.5000 0.5000 0.0000
0.0000 0.5000 0.5000
0.5000 0.0000 0.5000
```



23.
This record from the Alexandria database describes crystalline HgAsCl2 at its relaxed geometry. The functional is GGA-PBE.

Properties
excess energy over the best structure of this formula in the dataset	0.268	eV/atom
uncorrected energy	-2.1907	eV/atom
space group	R3m

Structure (POSCAR):
```
HgAsCl2
1.0
1.8895 1.0909 8.3940
-1.8895 1.0909 8.3940
0.0000 -2.1818 8.3940
Hg As Cl
1 1 2
Direct
0.0000 0.0000 0.0000
0.2633 0.2633 0.2633
0.5284 0.5284 0.5284
0.7338 0.7338 0.7338
```



24.
This record from the Alexandria database describes crystalline HgAs2Cl8 at its relaxed geometry. The functional is GGA-PBE.

Properties
excess energy over the best structure of this formula in the dataset	0.000	eV/atom
uncorrected energy	-2.8924	eV/atom
space group	C2/m

Structure (POSCAR):
```
HgAs2Cl8
1.0
7.5582 -4.1647 0.0000
7.5582 4.1647 0.0000
-2.1814 0.0000 6.3252
Hg As Cl
1 2 8
Direct
0.0000 0.0000 0.0000
0.2945 0.2945 0.0276
0.7055 0.7055 0.9724
0.1339 0.1339 0.2884
0.1666 0.5705 0.2334
0.3701 0.3701 0.7975
0.4295 0.8334 0.7666
0.5705 0.1666 0.2334
0.6299 0.6299 0.2025
0.8334 0.4295 0.7666
0.8661 0.8661 0.7116
```



25.
This record from the Alexandria database describes crystalline Hg2AsCl2 at its relaxed geometry. The functional is GGA-PBE.

Properties
uncorrected energy	-2.0394	eV/atom
space group	C2/m

Structure (POSCAR):
```
Hg2AsCl2
1.0
6.5313 -3.2723 0.0000
6.5313 3.2723 0.0000
-6.0685 0.0000 8.1895
Hg As Cl
4 2 4
Direct
0.0431 0.0431 0.2434
0.3103 0.3103 0.9296
0.6897 0.6897 0.0704
0.9569 0.9569 0.7566
0.0860 0.0860 0.6474
0.9140 0.9140 0.3526
0.1852 0.1852 0.1649
0.4774 0.4774 0.7940
0.5226 0.5226 0.2060
0.8148 0.8148 0.8351
```



26.
This record from the Alexandria database describes crystalline HgAs2Cl at its relaxed geometry. The functional is GGA-PBE.

Properties
excess energy over the best structure of this formula in the dataset	0.399	eV/atom
uncorrected energy	-2.6142	eV/atom
space group	P4/mmm

Structure (POSCAR):
```
HgAs2Cl
1.0
4.0733 0.0000 0.0000
0.0000 4.0733 0.0000
0.0000 0.0000 6.0843
Hg As Cl
1 2 1
Direct
0.0000 0.0000 0.0000
0.5000 0.5000 0.1882
0.5000 0.5000 0.8118
0.0000 0.0000 0.5000
```



27.
This record from the Alexandria database describes crystalline HgAs2Cl at its relaxed geometry. The functional is GGA-PBE.

Properties
excess energy over the best structure of this formula in the dataset	0.616	eV/atom
uncorrected energy	-2.3969	eV/atom
space group	P4/mmm

Structure (POSCAR):
```
HgAs2Cl
1.0
5.1978 0.0000 0.0000
0.0000 5.1978 0.0000
0.0000 0.0000 3.1545
Hg As Cl
1 2 1
Direct
0.0000 0.0000 0.0000
0.0000 0.5000 0.5000
0.5000 0.0000 0.5000
0.5000 0.5000 0.0000
```